Entry from the Alexandria database: a crystal of KTlPt3 relaxed with PBEsol (meta-GGA SCAN).

Its total energy is -57.35 eV/atom.

The space group is Pm-3m (No. 221) and the conventional cell measures 5.0750, 5.0750 and 5.0750 Å, with angles of 90.00, 90.00 and 90.00 degrees. The inequivalent atoms are K at (0.0000, 0.0000, 0.0000), Tl at (0.5000, 0.5000, 0.5000) and Pt at (0.0000, 0.5000, 0.5000).



Entry from the Alexandria database: a crystal of KTl2Pt relaxed with PBEsol (meta-GGA SCAN).

Its total energy is -55.95 eV/atom.

The space group is Immm (No. 71) and the conventional cell measures 3.1452, 5.7913 and 11.4816 Å, with angles of 90.00, 90.00 and 90.00 degrees. The inequivalent atoms are K at (0.0000, 0.0000, 0.0000), Tl at (0.0000, 0.5000, 0.2014) and Pt at (0.0000, 0.0000, 0.5000).



Entry from the Alexandria database: a crystal of KTl2Pt relaxed with PBEsol (meta-GGA SCAN).

Its total energy is -56.01 eV/atom.

The space group is C2/m (No. 12) and the conventional cell measures 7.6163, 4.3785 and 7.4227 Å, with angles of 90.00, 109.71 and 90.00 degrees. The inequivalent atoms are K at (0.0000, 0.0000, 0.0000), Tl at (0.2220, 0.0000, 0.6664) and Pt at (0.0000, 0.5000, 0.5000).



Entry from the Alexandria database: a crystal of KTlPt relaxed with PBEsol (meta-GGA SCAN).

Its total energy is -50.45 eV/atom.

The space group is P-6m2 (No. 187) and the conventional cell measures 4.6314, 4.6314 and 4.6571 Å, with angles of 90.00, 90.00 and 120.00 degrees. The inequivalent atoms are K at (0.0000, 0.0000, 0.0000), Tl at (0.6667, 0.3333, 0.5000) and Pt at (0.3333, 0.6667, 0.5000).



Entry from the Alexandria database: a crystal of KTl3Pt relaxed with PBEsol (meta-GGA SCAN).

Its total energy is -59.22 eV/atom.

The space group is Pm-3m (No. 221) and the conventional cell measures 5.3504, 5.3504 and 5.3504 Å, with angles of 90.00, 90.00 and 90.00 degrees. The inequivalent atoms are K at (0.0000, 0.0000, 0.0000), Tl at (0.0000, 0.5000, 0.5000) and Pt at (0.5000, 0.5000, 0.5000).



Entry from the Alexandria database: a crystal of KTl2Pt relaxed with PBEsol (meta-GGA SCAN).

Its total energy is -55.60 eV/atom.

The space group is Cmmm (No. 65) and the conventional cell measures 6.2314, 10.1205 and 3.0316 Å, with angles of 90.00, 90.00 and 90.00 degrees. The inequivalent atoms are K at (0.0000, 0.0000, 0.0000), Tl at (0.2500, 0.2500, 0.5000) and Pt at (0.0000, 0.5000, 0.0000).



Entry from the Alexandria database: a crystal of KTl2Pt relaxed with PBEsol (meta-GGA SCAN).

Its total energy is -56.02 eV/atom.

The space group is P1 (No. 1) and the conventional cell measures 4.4812, 4.4863 and 7.1370 Å, with angles of 71.71, 71.74 and 60.17 degrees. The inequivalent atoms are K at (0.0000, 0.0000, 0.0000), Tl at (0.2174, 0.2199, 0.3488), Tl at (0.4434, 0.4447, 0.6707) and Pt at (0.8281, 0.8301, 0.5167).



Entry from the Alexandria database: a crystal of KTl2Pt2 relaxed with PBEsol (meta-GGA SCAN).

Its total energy is -58.90 eV/atom.

The space group is I4/mmm (No. 139) and the conventional cell measures 3.8634, 3.8634 and 17.1286 Å, with angles of 90.00, 90.00 and 90.00 degrees. The inequivalent atoms are K at (0.0000, 0.0000, 0.0000), Tl at (0.0000, 0.0000, 0.3674) and Pt at (0.0000, 0.5000, 0.2500).



Number 1: formation energy 906 meV per atom. Number 2: formation energy -143 meV per atom. Number 3: formation energy -203 meV per atom. Number 4: formation energy -153 meV per atom. Number 5: formation energy -96 meV per atom. Number 6: formation energy 213 meV per atom. Number 7: formation energy -213 meV per atom. Number 8: formation energy -213 meV per atom.